A relaxed NdEr4In3 crystal. Source: the Alexandria database, functional PBE-GGA.

a = 8.981 Å, b = 8.981 Å, c = 8.981 Å
α = 157.73°, β = 121.84°, γ = 63.07°
Fractional positions:
Nd1 0.000 0.000 0.000
Er1 0.161 0.859 0.303
Er2 0.444 0.141 0.303
Er3 0.556 0.859 0.697
Er4 0.839 0.141 0.697
In1 0.187 0.687 0.500
In2 0.500 0.500 0.000
In3 0.813 0.313 0.500

Summary:
- DFT formation energy (meV per atom) = -209